# 1
Compound: SrCr2Pt
Source: Alexandria via LeMat-Bulk
Functional: PBE
Structure: relaxed

The structure belongs to space group P4/mmm (No. 123); the cell edges are 3.3545, 3.3545 and 7.6244 Å and the angles 90.00°, 90.00° and 90.00°. The inequivalent atoms are Sr at (0.0000, 0.0000, 0.0000), Cr at (0.5000, 0.5000, 0.3234) and Pt at (0.0000, 0.0000, 0.5000).

---

# 2
Compound: Hf3Co2Ni
Source: Alexandria via LeMat-Bulk
Functional: PBE
Structure: relaxed

The structure belongs to space group Cmmm (No. 65); the cell edges are 4.4859, 13.4467 and 3.1342 Å and the angles 90.00°, 90.00° and 90.00°. The inequivalent atoms are Hf at (0.0000, 0.0000, 0.0000), Hf at (0.0000, 0.3323, 0.0000), Co at (0.0000, 0.1681, 0.5000) and Ni at (0.0000, 0.5000, 0.5000).

---

# 3
Compound: Re2IrW
Source: Alexandria via LeMat-Bulk
Functional: PBE
Structure: relaxed

The structure belongs to space group F-43m (No. 216); the cell edges are 6.2688, 6.2688 and 6.2688 Å and the angles 90.00°, 90.00° and 90.00°. The inequivalent atoms are Re at (0.0000, 0.0000, 0.0000), Re at (0.2500, 0.2500, 0.2500), Ir at (0.0000, 0.0000, 0.5000) and W at (0.2500, 0.2500, 0.7500).

The excess energy over the best structure of this formula in the dataset comes out at 0.455 eV/atom.

---

Number 1: ΔE_f 0.4279 eV/atom, total magnetic moment 7.87 Bohr magnetons per cell, E_tot -6.31 eV per atom. Number 2: ΔE_f -0.4012 eV/atom, total magnetic moment 0.00 Bohr magnetons per cell, E_tot -8.71 eV per atom. Number 3: ΔE_f 0.3583 eV/atom, total magnetic moment 3.76 Bohr magnetons per cell, E_tot -11.32 eV per atom.